Crystalline La3PaOs8 at its relaxed geometry, computed with PBE.

Unit cell a=5.4459 b=5.4459 c=9.4389 alpha=73.23 beta=73.23 gamma=60.00
With the nearest neighbours (Å) after each atom.
Atoms (fractional coordinates):
La1 0.3744 0.3744 0.8769  12 Os 3.19-3.23, 4 La 3.31-3.32
La2 0.0012 0.0012 0.9965  12 Os 3.19-3.24, 3 La 3.32, 1 Pa 3.38
La3 0.4985 0.4985 0.5046  12 Os 3.15-3.20, 1 La 3.31, 3 Pa 3.35
Pa1 0.8746 0.8746 0.3762  12 Os 3.14-3.19, 4 La 3.35-3.38
Os1 0.9318 0.4376 0.1929  6 Os 2.68-2.77
Os2 0.4418 0.9382 0.6818  6 Os 2.70-2.75
Os3 0.4376 0.4376 0.1929  6 Os 2.68-2.77
Os4 0.9382 0.9382 0.6818  6 Os 2.70-2.75
Os5 0.1881 0.1881 0.4357  6 Os 2.68-2.70
Os6 0.6881 0.6881 0.9358  6 Os 2.75-2.77
Os7 0.4376 0.9318 0.1929  6 Os 2.68-2.77
Os8 0.9382 0.4418 0.6818  6 Os 2.70-2.75

Results
uncorrected energy: -115.458 eV/f.u.
energy of formation: -111.8 meV per atom
density of states at the Fermi level: 11.13 states/eV/cell


Crystalline SrErOs2O8 at its relaxed geometry, computed with PBE.

Unit cell a=5.9111 b=5.9111 c=7.1437 alpha=90.00 beta=90.00 gamma=120.00
With the nearest neighbours (Å) after each atom.
Atoms (fractional coordinates):
Sr1 0.0000 0.0000 0.0000  6 O 2.66
Er1 0.0000 0.0000 0.5000  6 O 2.22
Os1 0.6667 0.3333 0.2142  4 O 1.80-1.84
Os2 0.3333 0.6667 0.7858  4 O 1.80-1.84
O1 0.3333 0.6667 0.0373  1 Os 1.80
O2 0.3230 0.1619 0.2920  1 Os 1.84
O3 0.8381 0.1611 0.2920  1 Os 1.84
O4 0.6667 0.3333 0.9627  1 Os 1.80
O5 0.1619 0.8389 0.7080  1 Os 1.84
O6 0.6770 0.8381 0.7080  1 Os 1.84
O7 0.1611 0.3230 0.7080  1 Os 1.84
O8 0.8389 0.6770 0.2920  1 Os 1.84

Results
uncorrected energy: -88.302 eV/f.u.
density of states at the Fermi level: 5.51 states/eV/cell


Crystalline BaLiCo at its relaxed geometry, computed with PBE.

Unit cell a=7.2580 b=4.0932 c=11.9269 alpha=90.00 beta=112.36 gamma=90.00
With the nearest neighbours (Å) after each atom.
Atoms (fractional coordinates):
Ba1 0.5000 0.5000 0.5000  2 Co 3.24, 4 Li 3.47
Ba2 0.5000 0.0000 0.0000  2 Co 3.24, 4 Li 3.47
Ba3 0.0000 0.5000 0.0000  6 Co 3.21-3.48, 4 Li 3.57
Ba4 0.0000 0.0000 0.5000  6 Co 3.21-3.48, 4 Li 3.57
Li1 0.6974 0.0000 0.7528  3 Co 2.55-2.81
Li2 0.3026 0.0000 0.2472  3 Co 2.55-2.81
Li3 0.6974 0.5000 0.2528  3 Co 2.55-2.81
Li4 0.3026 0.5000 0.7472  3 Co 2.55-2.81
Co1 0.0647 0.0000 0.7819  2 Co 2.26
Co2 0.9353 0.0000 0.2181  2 Co 2.26
Co3 0.0647 0.5000 0.2819  2 Co 2.26
Co4 0.9353 0.5000 0.7181  2 Co 2.26

Results
uncorrected energy: -10.082 eV/f.u.
energy of formation: 287.0 meV per atom
density of states at the Fermi level: 11.97 states/eV/cell
ΔE to the lowest computed polymorph: 70 meV per atom


Crystalline AcHoB at its relaxed geometry, computed with PBE.

Unit cell a=3.3388 b=7.0207 c=7.2748 alpha=86.83 beta=90.00 gamma=103.76
With the nearest neighbours (Å) after each atom.
Atoms (fractional coordinates):
Ho1 0.1086 0.2171 0.8466  3 B 2.55-2.62
Ho2 0.8914 0.7829 0.1534  3 B 2.55-2.62
B1 0.7279 0.4557 0.9998  2 B 1.78
B2 0.2721 0.5443 0.0002  2 B 1.78
Ac1 0.1498 0.2996 0.3303  3 B 2.84-3.07
Ac2 0.8502 0.7004 0.6697  3 B 2.84-3.07

Results
uncorrected energy: -15.241 eV/f.u.
energy of formation: 40.7 meV per atom
density of states at the Fermi level: 7.12 states/eV/cell


Crystalline AcDySb at its relaxed geometry, computed with PBE.

Unit cell a=4.0964 b=4.0964 c=6.6398 alpha=107.97 beta=107.97 gamma=90.00
With the nearest neighbours (Å) after each atom.
Atoms (fractional coordinates):
Sb1 0.2583 0.2583 0.5165  4 Dy 3.17
Ac1 0.9420 0.9420 0.8840  5 Dy 3.49-3.81, 5 Sb 3.63-3.78
Dy1 0.6497 0.6497 0.2995  4 Sb 3.17, 1 Ac 3.49

Results
uncorrected energy: -14.659 eV/f.u.
density of states at the Fermi level: 2.65 states/eV/cell
ΔE to the lowest computed polymorph: 185 meV per atom


Crystalline PrDy2ThN4 at its relaxed geometry, computed with PBE.

Unit cell a=3.5825 b=6.1937 c=6.1849 alpha=109.35 beta=90.00 gamma=90.00
With the nearest neighbours (Å) after each atom.
Atoms (fractional coordinates):
Pr1 0.5000 0.5000 0.0000  6 N 2.58-2.59
Dy1 0.5000 0.0000 0.5000  6 N 2.47-2.48
Dy2 0.0000 0.5000 0.5000  6 N 2.53-2.54
Th1 0.0000 0.0000 0.0000  6 N 2.51-2.54
N1 0.5000 0.2452 0.2563  3 Dy 2.47-2.53, 2 Th 2.54, 1 Pr 2.58
N2 0.5000 0.7548 0.7437  3 Dy 2.47-2.53, 2 Th 2.54, 1 Pr 2.58
N3 0.0000 0.2382 0.7410  3 Dy 2.48-2.54, 1 Th 2.51, 2 Pr 2.59
N4 0.0000 0.7618 0.2590  3 Dy 2.48-2.54, 1 Th 2.51, 2 Pr 2.59

Results
uncorrected energy: -67.295 eV/f.u.
density of states at the Fermi level: 1.75 states/eV/cell


Crystalline MnMo3 at its relaxed geometry, computed with PBE.

Unit cell a=5.4999 b=5.4999 c=4.6785 alpha=90.00 beta=90.00 gamma=120.00
With the nearest neighbours (Å) after each atom.
Atoms (fractional coordinates):
Mn1 0.3333 0.6667 0.2500  12 Mo 2.75-2.83
Mn2 0.6667 0.3333 0.7500  12 Mo 2.75-2.83
Mo1 0.8345 0.1655 0.2500  8 Mo 2.73-2.82, 4 Mn 2.75-2.83
Mo2 0.1655 0.8345 0.7500  8 Mo 2.73-2.82, 4 Mn 2.75-2.83
Mo3 0.8345 0.6690 0.2500  8 Mo 2.73-2.82, 4 Mn 2.75-2.83
Mo4 0.1655 0.3310 0.7500  8 Mo 2.73-2.82, 4 Mn 2.75-2.83
Mo5 0.3310 0.1655 0.2500  8 Mo 2.73-2.82, 4 Mn 2.75-2.83
Mo6 0.6690 0.8345 0.7500  8 Mo 2.73-2.82, 4 Mn 2.75-2.83

Results
uncorrected energy: -40.310 eV/f.u.
energy of formation: 338.1 meV per atom
density of states at the Fermi level: 11.35 states/eV/cell


Crystalline LiSnAu at its relaxed geometry, computed with PBE.

Unit cell a=3.1820 b=4.7188 c=4.7188 alpha=120.00 beta=90.00 gamma=90.00
With the nearest neighbours (Å) after each atom.
Atoms (fractional coordinates):
Au1 0.1674 0.3333 0.6667  3 Sn 2.72
Sn1 0.1661 0.0000 0.0000  3 Au 2.72
Li1 0.6664 0.6667 0.3333  6 Au 3.15-3.16, 6 Sn 3.15-3.16, 2 Li 3.18

Results
uncorrected energy: -10.389 eV/f.u.
energy of formation: -398.3 meV per atom
density of states at the Fermi level: 0.70 states/eV/cell
ΔE to the lowest computed polymorph: 26 meV per atom


Crystalline La2NdTh3P6 at its relaxed geometry, computed with PBE.

Unit cell a=7.2498 b=7.2498 c=7.2547 alpha=99.60 beta=99.60 gamma=119.93
With the nearest neighbours (Å) after each atom.
Atoms (fractional coordinates):
La1 0.3334 0.6666 0.0000  6 P 3.00
La2 0.6666 0.3334 0.0000  6 P 3.00
Nd1 0.0000 0.0000 0.0000  6 P 2.98-2.99
Th1 0.1672 0.8328 0.5000  6 P 2.92-2.94
Th2 0.8328 0.1672 0.5000  6 P 2.92-2.94
Th3 0.5000 0.5000 0.5000  6 P 2.92-2.94
P1 0.9141 0.5830 0.7421  3 Th 2.92-2.94, 1 Nd 2.98, 2 La 3.00
P2 0.7552 0.7552 0.2591  3 Th 2.92-2.94, 1 Nd 2.99, 2 La 3.00
P3 0.0859 0.4170 0.2579  3 Th 2.92-2.94, 1 Nd 2.98, 2 La 3.00
P4 0.5830 0.9141 0.7421  3 Th 2.92-2.94, 1 Nd 2.98, 2 La 3.00
P5 0.2448 0.2448 0.7409  3 Th 2.92-2.94, 1 Nd 2.99, 2 La 3.00
P6 0.4170 0.0859 0.2579  3 Th 2.92-2.94, 1 Nd 2.98, 2 La 3.00

Results
uncorrected energy: -88.288 eV/f.u.
energy of formation: -1578.9 meV per atom
density of states at the Fermi level: 5.16 states/eV/cell


Crystalline K3La2TiSe6 at its relaxed geometry, computed with PBE.

Unit cell a=7.3894 b=7.3894 c=8.0562 alpha=98.80 beta=98.80 gamma=120.00
With the nearest neighbours (Å) after each atom.
Atoms (fractional coordinates):
K1 0.1697 0.8303 0.5000  6 Se 3.29-3.48
K2 0.8303 0.1697 0.5000  6 Se 3.29-3.48
K3 0.5000 0.5000 0.5000  6 Se 3.27-3.55
La1 0.3325 0.6675 0.0000  6 Se 3.01-3.02
La2 0.6675 0.3325 0.0000  6 Se 3.01-3.02
Ti1 0.0000 0.0000 0.0000  6 Se 2.70-2.75
Se1 0.9308 0.6261 0.7957  1 Ti 2.75, 2 La 3.01
Se2 0.7664 0.7664 0.2005  1 Ti 2.70, 2 La 3.02
Se3 0.0692 0.3739 0.2043  1 Ti 2.75, 2 La 3.01
Se4 0.6261 0.9308 0.7957  1 Ti 2.75, 2 La 3.01
Se5 0.2336 0.2336 0.7995  1 Ti 2.70, 2 La 3.02
Se6 0.3739 0.0692 0.2043  1 Ti 2.75, 2 La 3.01

Results
uncorrected energy: -60.690 eV/f.u.
density of states at the Fermi level: 6.28 states/eV/cell


Crystalline ZrCo2ReAs at its relaxed geometry, computed with PBE.

Unit cell a=4.5211 b=4.9681 c=4.5211 alpha=90.00 beta=90.00 gamma=90.00
With the nearest neighbours (Å) after each atom.
Atoms (fractional coordinates):
Re1 0.0000 0.5000 0.0000  2 Zr 2.48
As1 0.5000 0.5000 0.5000  4 Re 3.20, 8 Co 3.36
Co1 0.0000 0.0000 0.5000  2 Zr 2.26
Co2 0.5000 0.0000 0.0000  2 Zr 2.26
Zr1 0.0000 0.0000 0.0000  4 Co 2.26, 2 Re 2.48

Results
uncorrected energy: -30.440 eV/f.u.
energy of formation: 1883.5 meV per atom
density of states at the Fermi level: 6.84 states/eV/cell


Crystalline Er2NiAuC at its relaxed geometry, computed with PBE.

Unit cell a=3.6826 b=4.9344 c=4.9344 alpha=90.00 beta=90.00 gamma=90.00
With the nearest neighbours (Å) after each atom.
Atoms (fractional coordinates):
Er1 0.0000 0.0000 0.5000  2 C 2.47
Er2 0.0000 0.5000 0.0000  2 C 2.47
Ni1 0.5000 0.0000 0.0000  2 C 1.84
Au1 0.5000 0.5000 0.5000  8 Er 3.08
C1 0.0000 0.0000 0.0000  2 Ni 1.84

Results
uncorrected energy: -30.305 eV/f.u.
energy of formation: -579.4 meV per atom
density of states at the Fermi level: 3.86 states/eV/cell